(1)
TbTmSnIr (GGA-PBE, optimized geometry); E = -6.10 eV/atom
1.0
0.000 3.581 3.581
3.581 0.000 3.581
3.581 3.581 0.000
Tb Tm Sn Ir
1 1 1 1
Cartesian
0.000 0.000 0.000
3.581 3.581 3.581
5.372 5.372 5.372
1.791 1.791 1.791



(2)
Sb2AsWI (GGA-PBE, optimized geometry); E above lowest polymorph = 641 meV/atom
1.0
5.359 0.000 0.000
0.000 5.359 0.000
0.000 0.000 5.357
Sb As W I
2 1 1 1
Cartesian
0.000 2.680 0.000
2.680 0.000 0.000
0.000 0.000 0.000
2.680 2.680 2.678
0.000 0.000 2.678



(3)
CsCdTcGe2 (GGA-PBE, optimized geometry); E = -4.28 eV/atom
1.0
4.890 0.000 0.000
0.000 4.890 0.000
0.000 0.000 5.527
Cs Cd Tc Ge
1 1 1 2
Cartesian
0.000 0.000 0.000
2.445 2.445 0.000
2.445 2.445 2.763
0.000 2.445 2.763
2.445 0.000 2.763



(4)
CeDy2S4 (GGA-PBE, optimized geometry); E = -6.58 eV/atom
1.0
1.944 -6.479 0.000
1.944 6.479 0.000
0.000 0.000 13.180
Ce Dy S
2 4 8
Cartesian
1.944 4.911 9.885
1.944 -4.911 3.295
1.944 1.700 7.468
1.944 1.700 12.301
1.944 -1.700 0.879
1.944 -1.700 5.711
0.000 0.000 0.000
0.000 0.000 6.590
1.944 2.950 1.590
1.944 2.950 5.000
1.944 0.506 9.885
1.944 -0.506 3.295
1.944 -2.950 8.180
1.944 -2.950 11.590



(5)
Dy2Ho2Ag (GGA-PBE, optimized geometry); E above lowest polymorph = 140 meV/atom
1.0
-2.501 2.501 12.206
2.501 -2.501 12.206
2.501 2.501 -12.206
Dy Ho Ag
4 4 2
Cartesian
2.501 1.251 -4.847
0.000 1.251 1.256
2.501 1.251 10.950
0.000 1.251 17.053
2.501 1.251 -1.227
0.000 1.251 4.876
2.501 1.251 7.330
0.000 1.251 13.433
2.501 1.251 3.052
0.000 1.251 9.155



(6)
LiPmPuAl (GGA-PBE, optimized geometry); E = -6.17 eV/atom
1.0
0.000 3.680 3.680
3.680 0.000 3.680
3.680 3.680 0.000
Li Pm Pu Al
1 1 1 1
Cartesian
0.000 0.000 0.000
1.840 1.840 1.840
5.520 5.520 5.520
3.680 3.680 3.680



(7)
LiHgN2 (GGA-PBE, optimized geometry); E = -3.42 eV/atom
1.0
1.718 0.992 5.918
-1.718 0.992 5.918
0.000 -1.984 5.918
Li Hg N
1 1 2
Cartesian
0.000 0.000 0.000
0.000 0.000 8.876
0.000 0.000 1.912
0.000 0.000 15.841



(8)
ZnBr3Cl (GGA-PBE, optimized geometry); E above lowest polymorph = 412 meV/atom
1.0
5.339 0.000 0.000
0.000 5.339 0.000
0.000 0.000 5.339
Zn Br Cl
1 3 1
Cartesian
0.000 0.000 0.000
0.000 2.669 2.669
2.669 0.000 2.669
2.669 2.669 0.000
2.669 2.669 2.669



(9)
LiCdTc3 (GGA-PBE, optimized geometry); E above lowest polymorph = 0 meV/atom
1.0
4.220 0.000 0.000
0.000 4.220 0.000
0.000 0.000 4.220
Li Cd Tc
1 1 3
Cartesian
0.000 0.000 0.000
2.110 2.110 2.110
0.000 0.000 2.110
0.000 2.110 0.000
2.110 0.000 0.000



(10)
Zr6In2H (GGA-PBE, optimized geometry); E above lowest polymorph = 0 meV/atom
1.0
-3.174 3.174 4.477
3.174 -3.174 4.477
3.174 3.174 -4.477
Zr In H
6 2 1
Cartesian
0.000 0.000 2.226
1.580 1.580 0.000
1.594 -1.594 4.477
-1.594 1.594 4.477
0.000 0.000 6.728
1.594 1.594 4.477
3.174 0.000 2.239
0.000 3.174 2.239
0.000 0.000 4.477



(11)
AcThO (GGA-PBE, optimized geometry); E above lowest polymorph = 155 meV/atom
1.0
3.898 0.000 0.000
-1.949 3.376 0.000
0.000 0.000 6.160
Ac Th O
1 1 1
Cartesian
0.000 0.000 0.000
1.949 1.125 3.296
0.000 2.251 4.267



(12)
LiEr2Ga (GGA-PBE, optimized geometry); E above lowest polymorph = 0 meV/atom
1.0
0.000 3.568 3.568
3.568 0.000 3.568
3.568 3.568 0.000
Li Er Ga
1 2 1
Cartesian
0.000 0.000 0.000
1.784 1.784 1.784
5.352 5.352 5.352
3.568 3.568 3.568



(13)
InCoSn3 (GGA-PBE, optimized geometry); E above lowest polymorph = 84 meV/atom
1.0
5.001 0.000 0.000
0.000 5.001 0.000
0.000 0.000 5.001
In Co Sn
1 1 3
Cartesian
0.000 0.000 0.000
2.501 2.501 2.501
0.000 2.501 2.501
2.501 0.000 2.501
2.501 2.501 0.000



(14)
BaSi2HgBi (GGA-PBE, optimized geometry); E = -2.03 eV/atom
1.0
5.856 0.000 0.000
0.000 5.856 0.000
0.000 0.000 6.434
Ba Si Hg Bi
1 2 1 1
Cartesian
0.000 0.000 0.000
0.000 2.928 0.000
2.928 0.000 0.000
2.928 2.928 3.217
0.000 0.000 3.217



Calculated density across the listed records, respectively: 11.55; 6.79; 6.14; 5.94; 8.29; 7.04; 6.46; 3.72; 9.13; 7.16; 9.73; 7.51; 7.03; 4.54 Mg/m³.
Magnetization across the listed records, respectively: 0.000; 0.651; 0.000; 0.186; 0.330; 1.589; 0.216; 0.061; 0.000; 0.000; 0.000; 0.000; 0.000; 0.000 μB per atom.